The following is a meta-GGA SCAN calculation of a PBEsol-optimized structure of BePb2Br, from the Alexandria database.

Calculated values
Magnetic moment = 0.000 μB/f.u.
E_form (uncorrected) = 22.4 kJ per mole of atoms
Space group = P4mm (99)
Calculated total energy = -43.61 eV per atom

abc: 3.255 3.255 9.266
angles: 90.00 90.00 90.00
Sites, in units of the cell vectors:
Pb: 0.000 0.000 0.014
Pb: 0.500 0.500 0.300
Be: 0.000 0.000 0.529
Br: 0.500 0.500 0.656

The following is a meta-GGA SCAN calculation of a PBEsol-optimized structure of MgTlRe, from the Alexandria database.

Calculated values
Magnetic moment = 0.000 μB/f.u.
Space group = P-6m2 (187)
Calculated formation energy = 0.683 eV/atom
Calculated total energy = -48.79 eV per atom

abc: 2.803 4.782 4.782
angles: 120.00 90.00 90.00
Sites, in units of the cell vectors:
Tl: 0.499 0.667 0.333
Mg: 0.001 0.000 0.000
Re: 0.500 0.333 0.667

The following is a meta-GGA SCAN calculation of a PBEsol-optimized structure of CaRu2, from the Alexandria database.

Calculated values
Magnetic moment = 0.000 μB/f.u.
Space group = P-3m1 (164)
Calculated formation energy = 0.691 eV/atom
Calculated total energy = -25.75 eV per atom

abc: 2.859 2.859 6.973
angles: 90.00 90.00 120.00
Sites, in units of the cell vectors:
Ru: 0.667 0.333 0.640
Ru: 0.333 0.667 0.360
Ca: 0.000 0.000 0.000

The following is a meta-GGA SCAN calculation of a PBEsol-optimized structure of Li3InHg, from the Alexandria database.

Calculated values
Magnetic moment = 0.000 μB/f.u.
Space group = Pm-3m (221)
Calculated formation energy = -0.077 eV/atom
Calculated total energy = -21.82 eV per atom

abc: 4.876 4.876 4.876
angles: 90.00 90.00 90.00
Sites, in units of the cell vectors:
Hg: 0.000 0.000 0.000
Li: 0.000 0.000 0.500
Li: 0.500 0.000 0.000
Li: 0.000 0.500 0.000
In: 0.500 0.500 0.500